# SmSc2Al6 PBE-GGA relaxed
data_SmSc2Al6
_chemical_formula_sum 'Sm1 Sc2 Al6'
_space_group_name_H-M_alt 'P 6/m m m'
_space_group_IT_number 191
_space_group_name_Hall '-P 6 2'
_cell_length_a 7.8292
_cell_length_b 7.8292
_cell_length_c 3.3356
_cell_angle_alpha 90.00
_cell_angle_beta 90.00
_cell_angle_gamma 120.00
loop_
_atom_site_label
_atom_site_type_symbol
_atom_site_fract_x
_atom_site_fract_y
_atom_site_fract_z
Sm1 Sm 0.0000 0.0000 0.0000
Sc1 Sc 0.3333 0.6667 0.0000
Al1 Al 0.0000 0.3375 0.5000
# total magnetization: 0.0 μB/cell

=====

# SmScAl PBE-GGA relaxed
data_SmScAl
_chemical_formula_sum 'Sm1 Sc1 Al1'
_space_group_name_H-M_alt 'P 3 m 1'
_space_group_IT_number 156
_cell_length_a 5.0830
_cell_length_b 5.0830
_cell_length_c 3.0831
_cell_angle_alpha 90.00
_cell_angle_beta 90.00
_cell_angle_gamma 120.00
loop_
_space_group_symop_operation_xyz
'x,y,z'
'-y,x-y,z'
'-x+y,-x,z'
'-y,-x,z'
'-x+y,y,z'
'x,x-y,z'
loop_
_atom_site_label
_atom_site_type_symbol
_atom_site_fract_x
_atom_site_fract_y
_atom_site_fract_z
Sm1 Sm 0.0000 0.0000 0.0000
Sc1 Sc 0.6667 0.3333 0.0025
Al1 Al 0.3333 0.6667 0.5010
# total magnetization: 0.0 μB/cell

=====

| no. | E (eV per atom) |
| --- | --- |
| 1 | -4.874 |
| 2 | -4.957 |